The following is a PBE calculation of crystalline Hf4As at its relaxed geometry, from Alexandria via LeMat-Bulk.

Unit cell a=4.9476 b=4.9476 c=4.9476 alpha=90.00 beta=90.00 gamma=90.00
Last column: nearest neighbours and their distance in Å.
Atoms (fractional coordinates):
Hf (0.0000, 0.0000, 0.0000)  12 Hf 3.50
Hf (0.0000, 0.5000, 0.5000)  2 As 2.47
Hf (0.5000, 0.0000, 0.5000)  2 As 2.47
Hf (0.5000, 0.5000, 0.0000)  2 As 2.47
As (0.5000, 0.5000, 0.5000)  6 Hf 2.47

V ... 24.223 Å³/atom
Magnetization ... 0.0 μB/f.u.
Raw total energy ... -8.758 eV per atom
Space-group type ... Pm-3m (221)